Computed, not measured: an optimized crystal structure of Cd2Ag3Au8 at the GGA-PBE level of DFT.

a b c (Å): 10.848 10.848 10.848
angles (deg): 29.05 29.05 29.05
Sites, in units of the cell vectors:
Cd  0.139  0.139  0.139
Cd  0.861  0.861  0.861
Ag  0.316  0.316  0.316
Ag  0.500  0.500  0.500
Ag  0.684  0.684  0.684
Au  0.225  0.225  0.225
Au  0.229  0.229  0.727
Au  0.229  0.727  0.229
Au  0.273  0.771  0.771
Au  0.727  0.229  0.229
Au  0.771  0.273  0.771
Au  0.771  0.771  0.273
Au  0.775  0.775  0.775

The calculation puts the energy at -2.77 eV per atom. As for the polymorph energy (0 for the lowest one): 95 kJ/mol of formula units. The density of states at the Fermi level is 0.21 states/eV/atom. As for the formation energy from the elements: 0.044 eV per atom. As for the space group: No. 166.